Material: Cs2CoSF6
Method: DFT, PBE+U
State: optimized geometry

Lattice parameters (Å, degrees): 5.8374 5.8374 6.8652 64.84 64.84 90.00
Last column: magnetic moment on the atom in μB.
Fractional positions:
Co  0.0000  0.0000  0.0000  2.71
F  0.2656  0.7344  0.0000  0.02
F  0.2656  0.2656  0.0000  0.02
S  0.5000  0.5000  0.0000  0.05
Cs  0.2500  0.7500  0.5000  0.00
F  0.7344  0.7344  0.0000  0.02
Cs  0.7500  0.2500  0.5000  0.00
F  0.1740  0.1740  0.6521  0.05
F  0.7344  0.2656  0.0000  0.02
F  0.8260  0.8260  0.3479  0.05

Output
Total magnetic moment: 3.00 Bohr magnetons per cell
Calculated total energy: -0.307 Ry per atom